The following is a PBE calculation of crystalline CsRbTc2F at its relaxed geometry, from Alexandria via LeMat-Bulk.

a = 4.5591 Å, b = 4.5591 Å, c = 5.9448 Å
α = 90.00°, β = 90.00°, γ = 90.00°
Last column: nearest neighbours and their distance in Å.
Space group P4/mmm (No. 123)
Inequivalent atoms, fractional coordinates:
Cs 0.0000 0.0000 0.0000 (multiplicity 1)  2 F 2.97, 4 Rb 3.22
Rb 0.5000 0.5000 0.0000 (multiplicity 1)  4 Cs 3.22
Tc 0.0000 0.5000 0.5000 (multiplicity 2)  2 F 2.28
F 0.0000 0.0000 0.5000 (multiplicity 1)  4 Tc 2.28

Properties
M_tot, μB per cell: 4.2
Crystal system: tetragonal
Theoretical density, g cm⁻³: 5.8
E_form (uncorrected), eV per atom: 1.026